5
Lattice="-2.436 2.436 5.274 2.436 -2.436 5.274 2.436 2.436 -5.274" Properties=species:S:1:pos:R:3 comment="Sr2ScO2, relaxed, DFT PBEsol" dos_at_fermi_per_ev_atom=0.634 e_form_raw_ev_per_atom=-2.0766 pbc="T T T"
Sr 2.436 0.000 2.637
Sr 0.000 2.436 2.637
Sc 0.000 0.000 0.000
O 0.000 0.000 1.984
O 0.000 0.000 8.564